VASP calculation (PBE) on an optimized crystal structure of ThNp2S5.

Lattice parameters (Å, degrees): 11.837 8.058 7.437 90.00 90.00 90.00
Atoms (fractional coordinates):
Th (0.009, 0.250, 0.080)
Th (0.491, 0.750, 0.580)
Th (0.509, 0.250, 0.420)
Th (0.991, 0.750, 0.920)
Np (0.178, 0.002, 0.519)
Np (0.178, 0.498, 0.519)
Np (0.322, 0.502, 0.019)
Np (0.322, 0.998, 0.019)
Np (0.678, 0.002, 0.981)
Np (0.678, 0.498, 0.981)
Np (0.822, 0.502, 0.481)
Np (0.822, 0.998, 0.481)
S (0.001, 0.750, 0.533)
S (0.103, 0.547, 0.165)
S (0.103, 0.953, 0.165)
S (0.189, 0.250, 0.826)
S (0.222, 0.750, 0.796)
S (0.278, 0.250, 0.296)
S (0.311, 0.750, 0.326)
S (0.397, 0.047, 0.665)
S (0.397, 0.453, 0.665)
S (0.499, 0.250, 0.033)
S (0.501, 0.750, 0.967)
S (0.603, 0.547, 0.335)
S (0.603, 0.953, 0.335)
S (0.689, 0.250, 0.674)
S (0.722, 0.750, 0.704)
S (0.778, 0.250, 0.204)
S (0.811, 0.750, 0.174)
S (0.897, 0.047, 0.835)
S (0.897, 0.453, 0.835)
S (0.999, 0.250, 0.467)

Calculated values
Crystal system ... orthorhombic
E_form (uncorrected) ... -1.591 eV per atom
Total magnetization ... 32.00 Bohr magnetons per cell

=====

VASP calculation (PBE) on an optimized crystal structure of Ir2Os2Ru7.

Lattice parameters (Å, degrees): 5.006 5.006 6.574 97.76 97.76 93.67
Atoms (fractional coordinates):
Ir (0.104, 0.104, 0.350)
Ir (0.896, 0.896, 0.650)
Os (0.182, 0.818, 0.000)
Os (0.818, 0.182, 0.000)
Ru (0.038, 0.419, 0.696)
Ru (0.341, 0.341, 0.083)
Ru (0.419, 0.038, 0.696)
Ru (0.500, 0.500, 0.500)
Ru (0.581, 0.962, 0.304)
Ru (0.659, 0.659, 0.917)
Ru (0.962, 0.581, 0.304)

Calculated values
E_form ... 0.22 eV/atom
Crystal system ... monoclinic
Total magnetization ... 0.00 Bohr magnetons per cell

=====

VASP calculation (PBE) on an optimized crystal structure of Pr2NdUP4.

Lattice parameters (Å, degrees): 7.137 4.106 7.143 90.00 109.17 90.00
Atoms (fractional coordinates):
Pr (0.000, 0.000, 0.000)
Pr (0.500, 0.500, 0.000)
Nd (0.000, 0.500, 0.500)
U (0.500, 0.000, 0.500)
P (0.259, 0.000, 0.738)
P (0.264, 0.500, 0.266)
P (0.736, 0.500, 0.734)
P (0.741, 0.000, 0.262)

Calculated values
E_form ... -1.38 eV/atom
Crystal system ... monoclinic
Total magnetization ... 2.07 Bohr magnetons per cell

=====

VASP calculation (PBE) on an optimized crystal structure of CsK4Tl5.

Lattice parameters (Å, degrees): 11.780 12.694 5.588 90.00 90.00 90.00
Atoms (fractional coordinates):
Cs (0.250, 0.250, 0.241)
Cs (0.750, 0.750, 0.759)
K (0.009, 0.750, 0.253)
K (0.250, 0.550, 0.252)
K (0.250, 0.950, 0.252)
K (0.491, 0.750, 0.253)
K (0.509, 0.250, 0.747)
K (0.750, 0.050, 0.748)
K (0.750, 0.450, 0.748)
K (0.991, 0.250, 0.747)
Tl (0.047, 0.550, 0.750)
Tl (0.047, 0.950, 0.750)
Tl (0.250, 0.750, 0.752)
Tl (0.453, 0.550, 0.750)
Tl (0.453, 0.950, 0.750)
Tl (0.547, 0.050, 0.250)
Tl (0.547, 0.450, 0.250)
Tl (0.750, 0.250, 0.248)
Tl (0.953, 0.050, 0.250)
Tl (0.953, 0.450, 0.250)

Calculated values
E_form ... -0.05 eV/atom
Crystal system ... orthorhombic
Total magnetization ... 0.00 Bohr magnetons per cell